# PBE-GGA Pr3Zn8Au3, relaxed
# * density of states at the Fermi level: 0.593 states/eV per atom
# * relative energy among the computed polymorphs: 0.000 eV/atom
# * ΔE_f: -467 meV per atom
data_Pr3Zn8Au3
_space_group_name_H-M_alt 'C 1 2/m 1'
_space_group_IT_number 12
_space_group_name_Hall '-C 2y'
_cell_length_a 16.034
_cell_length_b 4.483
_cell_length_c 9.237
_cell_angle_alpha 90.00
_cell_angle_beta 123.42
_cell_angle_gamma 90.00
loop_
_atom_site_label
_atom_site_fract_x
_atom_site_fract_y
_atom_site_fract_z
Pr1 0.000 0.000 0.000
Pr2 0.203 0.500 0.697
Zn1 0.002 0.500 0.315
Zn2 0.136 0.000 0.416
Zn3 0.138 0.000 0.847
Zn4 0.163 0.500 0.309
Au1 0.000 0.000 0.500
Au2 0.156 0.500 0.017